{
  "formula": "ScIn2CoN",
  "functional": "PBE",
  "state": "relaxed",
  "spacegroup": "No. 123",
  "total_energy_ev_per_atom": -5.2700,
  "total_magnetization_mub_per_cell": 0.00,
  "lattice_angstrom": [[5.340, 0.000, 0.000], [0.000, 5.340, 0.000], [0.000, 0.000, 3.405]],
  "species": ["Sc", "In", "In", "Co", "N"],
  "fractional_positions": [[0.000, 0.000, 0.000], [0.000, 0.500, 0.500], [0.500, 0.000, 0.500], [0.500, 0.500, 0.500], [0.500, 0.500, 0.000]]
}